Compound: TiFeNi2Rh
Source: Alexandria via LeMat-Bulk
Functional: PBE
Structure: relaxed

Results
energy of formation = 96.97 kJ/mol of atoms
final energy = -30.25 eV for the cell shown
density of states at the Fermi level = 4.47 states/eV per cell
symmetry = P4/mmm

Lattice parameters (Å, degrees): 4.249 4.249 4.168 90.00 90.00 90.00
Sites, in units of the cell vectors:
Ti 0.000 0.000 0.000
Fe 0.000 0.000 0.500
Ni 0.000 0.500 0.000
Ni 0.500 0.000 0.000
Rh 0.500 0.500 0.500

---

Compound: Al2ZnCd
Source: Alexandria via LeMat-Bulk
Functional: PBE
Structure: relaxed

Results
energy of formation = 10.78 kJ/mol of atoms
final energy = -9.23 eV for the cell shown
density of states at the Fermi level = 1.24 states/eV per cell
symmetry = Cm
relative energy among the computed polymorphs = 0.056 eV/atom

Lattice parameters (Å, degrees): 4.621 4.621 5.483 101.75 101.75 40.18
Sites, in units of the cell vectors:
Al 0.000 0.000 0.000
Al 0.748 0.748 0.235
Zn 0.492 0.492 0.447
Cd 0.244 0.244 0.720